Y2TlHg2: relaxed, GGA-PBEsol.

a = 3.884 Å, b = 8.012 Å, c = 8.012 Å
α = 90.00°, β = 90.00°, γ = 90.00°
Positions (direct):
Y (0.500, 0.171, 0.671)
Y (0.500, 0.671, 0.829)
Y (0.500, 0.829, 0.329)
Y (0.500, 0.329, 0.171)
Tl (0.000, 0.000, 0.000)
Tl (0.000, 0.500, 0.500)
Hg (0.000, 0.372, 0.872)
Hg (0.000, 0.872, 0.628)
Hg (0.000, 0.628, 0.128)
Hg (0.000, 0.128, 0.372)

Calculated values
* theoretical density: 10.4 g/cm3
* formation energy from the elements: -0.50 eV/atom
* symmetry: P4/mbm, No. 127

=====

Zn2TcSeF: relaxed, GGA-PBEsol.

a = 4.230 Å, b = 4.230 Å, c = 4.394 Å
α = 90.00°, β = 90.00°, γ = 90.00°
Site moments in Bohr magnetons follow the coordinates.
Positions (direct):
Zn (0.000, 0.500, 0.000)  -0.03
Zn (0.500, 0.000, 0.000)  -0.03
Tc (0.000, 0.000, 0.500)  1.76
Se (0.500, 0.500, 0.500)  0.01
F (0.000, 0.000, 0.000)  0.01

Calculated values
* theoretical density: 6.9 g/cm3
* symmetry: P4/mmm, No. 123
* raw formation energy: 326 meV per atom

=====

Pr7Mn8O24: relaxed, GGA-PBEsol.

a = 7.616 Å, b = 7.694 Å, c = 9.320 Å
α = 114.13°, β = 113.87°, γ = 90.55°
Site moments in Bohr magnetons follow the coordinates.
Positions (direct):
Pr (0.366, 0.109, 0.492)  0.03
Pr (0.639, 0.883, 0.000)  0.03
Pr (0.869, 0.115, 0.498)  0.03
Pr (0.874, 0.617, 0.508)  0.03
Pr (0.135, 0.377, 0.000)  0.03
Pr (0.371, 0.617, 0.502)  0.03
Pr (0.623, 0.386, 0.000)  0.03
Mn (0.753, 0.999, 0.751)  3.26
Mn (0.999, 0.748, 0.247)  3.28
Mn (0.249, 0.997, 0.753)  3.29
Mn (0.249, 0.504, 0.754)  3.27
Mn (0.002, 0.248, 0.249)  3.26
Mn (0.496, 0.244, 0.247)  3.29
Mn (0.753, 0.501, 0.753)  3.28
Mn (0.495, 0.749, 0.246)  3.27
O (0.479, 0.970, 0.709)  0.04
O (0.092, 0.897, 0.499)  0.04
O (0.988, 0.993, 0.238)  0.07
O (0.750, 0.756, 0.762)  0.07
O (0.729, 0.743, 0.209)  0.04
O (0.663, 0.848, 0.499)  0.04
O (0.834, 0.152, 0.000)  0.06
O (0.978, 0.459, 0.708)  0.06
O (0.770, 0.261, 0.291)  0.04
O (0.713, 0.232, 0.716)  0.04
O (0.515, 0.017, 0.287)  0.06
O (0.424, 0.111, 0.000)  0.06
O (0.593, 0.398, 0.501)  0.04
O (0.505, 0.488, 0.228)  0.04
O (0.277, 0.260, 0.772)  0.04
O (0.239, 0.272, 0.228)  0.07
O (0.010, 0.044, 0.772)  0.07
O (0.165, 0.350, 0.501)  0.04
O (0.346, 0.626, 0.000)  0.09
O (0.270, 0.750, 0.292)  0.06
O (0.228, 0.730, 0.713)  0.06
O (0.997, 0.516, 0.284)  0.04
O (0.897, 0.576, 0.000)  0.06
O (0.520, 0.534, 0.791)  0.04

Calculated values
* theoretical density: 6.7 g/cm3
* symmetry: Cm, No. 8
* raw formation energy: -2517 meV per atom

=====

Li2HfCoSi: relaxed, GGA-PBEsol.

a = 4.188 Å, b = 4.188 Å, c = 4.199 Å
α = 90.00°, β = 90.00°, γ = 90.00°
Positions (direct):
Co (0.000, 0.000, 0.500)
Si (0.000, 0.000, 0.000)
Hf (0.500, 0.500, 0.500)
Li (0.000, 0.500, 0.000)
Li (0.500, 0.000, 0.000)

Calculated values
* theoretical density: 6.3 g/cm3
* symmetry: P4/mmm, No. 123
* raw formation energy: 317 meV per atom

=====

Hg2WBr: relaxed, GGA-PBEsol.

a = 2.853 Å, b = 2.853 Å, c = 10.615 Å
α = 90.00°, β = 90.00°, γ = 90.00°
Positions (direct):
Br (0.500, 0.500, 0.500)
Hg (0.000, 0.000, 0.797)
Hg (0.000, 0.000, 0.203)
W (0.500, 0.500, 0.000)

Calculated values
* theoretical density: 12.8 g/cm3
* energy relative to the lowest polymorph listed for this composition: 0 meV/atom
* symmetry: P4/mmm, No. 123
* raw formation energy: 675 meV per atom

=====

Al2ReMo: relaxed, GGA-PBEsol.

a = 2.696 Å, b = 5.001 Å, c = 5.001 Å
α = 114.71°, β = 99.66°, γ = 99.66°
Positions (direct):
Re (0.500, 0.500, 0.500)
Mo (0.500, 0.000, 0.000)
Al (0.000, 0.500, 0.000)
Al (0.000, 0.000, 0.500)

Calculated values
* theoretical density: 9.6 g/cm3
* formation energy from the elements: -0.08 eV/atom
* energy relative to the lowest polymorph listed for this composition: 220 meV/atom
* symmetry: C2/m, No. 12